! K4CuO2 (PBE-GGA, relaxed); values from VASP
! * total moment: 0.46 μB/f.u.
! * uncorrected formation energy: -745 meV/atom
! * density of states at the Fermi level: 2.35 states/eV/f.u.
! * space group: R-3m, No. 166
&SYSTEM
  ibrav = 0, nat = 7, ntyp = 3
/
ATOMIC_SPECIES
O 16.00 O.upf
K 39.10 K.upf
Cu 63.55 Cu.upf
ATOMIC_POSITIONS crystal
O 0.081 0.081 0.757
O 0.919 0.919 0.243
K 0.608 0.608 0.177
K 0.201 0.201 0.398
K 0.799 0.799 0.602
K 0.392 0.392 0.823
Cu 0.000 0.000 0.000
CELL_PARAMETERS angstrom
5.154 0.000 0.000
2.577 4.463 0.000
2.577 1.488 7.536